Record 1
Zr5CrSb2: relaxed, PBE.

Values from the calculation:
E_form (uncorrected): -0.4708 eV per atom
volume: 21.57 A^3/atom
total moment: 0.00 Bohr magnetons per cell

The structure in CIF format:
```
data_Zr5CrSb2
_chemical_formula_sum 'Zr20 Cr4 Sb8'
_cell_length_a 11.148
_cell_length_b 11.148
_cell_length_c 5.553
_cell_angle_alpha 90.00
_cell_angle_beta 90.00
_cell_angle_gamma 90.00
_space_group_name_H-M_alt 'I 4/m c m'
_space_group_IT_number 140
_space_group_name_Hall '-I 4 2c'
loop_
_atom_site_label
_atom_site_type_symbol
_atom_site_fract_x
_atom_site_fract_y
_atom_site_fract_z
_atom_site_occupancy
Zr1 Zr 0.000 0.500 0.250 1
Zr2 Zr 0.073 0.204 0.000 1
Cr1 Cr 0.000 0.000 0.250 1
Sb1 Sb 0.163 0.337 0.500 1
```

***

Record 2
Zn2FeCu: relaxed, PBE.

Values from the calculation:
formation energy: 2.089 kcal/mol of atoms
volume: 13.12 A^3/atom
total moment: 4.98 Bohr magnetons per cell

The structure in CIF format:
```
data_Zn2FeCu
_chemical_formula_sum 'Zn4 Fe2 Cu2'
_cell_length_a 2.753
_cell_length_b 4.422
_cell_length_c 8.618
_cell_angle_alpha 90.00
_cell_angle_beta 90.00
_cell_angle_gamma 90.00
_space_group_name_H-M_alt 'I m m m'
_space_group_IT_number 71
_space_group_name_Hall '-I 2 2'
loop_
_atom_site_label
_atom_site_type_symbol
_atom_site_fract_x
_atom_site_fract_y
_atom_site_fract_z
_atom_site_occupancy
Zn1 Zn 0.000 0.000 0.246 1
Fe1 Fe 0.000 0.500 0.000 1
Cu1 Cu 0.000 0.500 0.500 1
```

***

Record 3
NaInNiBr2: relaxed, PBE.

Values from the calculation:
E_form (uncorrected): -0.1185 eV per atom
volume: 34.77 A^3/atom
total moment: 0.86 Bohr magnetons per cell

The structure in CIF format:
```
data_NaInNiBr2
_chemical_formula_sum 'Na1 In1 Ni1 Br2'
_cell_length_a 5.937
_cell_length_b 5.937
_cell_length_c 4.932
_cell_angle_alpha 90.00
_cell_angle_beta 90.00
_cell_angle_gamma 90.00
_space_group_name_H-M_alt 'P 4/m m m'
_space_group_IT_number 123
_space_group_name_Hall '-P 4 2'
loop_
_atom_site_label
_atom_site_type_symbol
_atom_site_fract_x
_atom_site_fract_y
_atom_site_fract_z
_atom_site_occupancy
Na1 Na 0.000 0.000 0.000 1
In1 In 0.500 0.500 0.500 1
Ni1 Ni 0.500 0.500 0.000 1
Br1 Br 0.000 0.500 0.500 1
```

***

Record 4
MgZn2Sb: relaxed, PBE.

Values from the calculation:
E_form (uncorrected): 0.0102 eV per atom
volume: 20.09 A^3/atom
total moment: 0.00 Bohr magnetons per cell

The structure in CIF format:
```
data_MgZn2Sb
_chemical_formula_sum 'Mg2 Zn4 Sb2'
_cell_length_a 4.179
_cell_length_b 4.179
_cell_length_c 9.205
_cell_angle_alpha 90.00
_cell_angle_beta 90.00
_cell_angle_gamma 90.00
_space_group_name_H-M_alt 'I 4/m m m'
_space_group_IT_number 139
_space_group_name_Hall '-I 4 2'
loop_
_atom_site_label
_atom_site_type_symbol
_atom_site_fract_x
_atom_site_fract_y
_atom_site_fract_z
_atom_site_occupancy
Mg1 Mg 0.000 0.000 0.000 1
Zn1 Zn 0.000 0.500 0.250 1
Sb1 Sb 0.000 0.000 0.500 1
```

***

Record 5
NaFeOs2: relaxed, PBE.

Values from the calculation:
formation energy: 26.627 kcal/mol of atoms
volume: 13.67 A^3/atom
total moment: 0.00 Bohr magnetons per cell
polymorph energy (0 for the lowest one): 0.0344 eV/atom

The structure in CIF format:
```
data_NaFeOs2
_chemical_formula_sum 'Na4 Fe4 Os8'
_cell_length_a 6.026
_cell_length_b 6.026
_cell_length_c 6.026
_cell_angle_alpha 90.00
_cell_angle_beta 90.00
_cell_angle_gamma 90.00
_space_group_name_H-M_alt 'F m -3 m'
_space_group_IT_number 225
_space_group_name_Hall '-F 4 2 3'
loop_
_atom_site_label
_atom_site_type_symbol
_atom_site_fract_x
_atom_site_fract_y
_atom_site_fract_z
_atom_site_occupancy
Na1 Na 0.000 0.000 0.000 1
Fe1 Fe 0.000 0.000 0.500 1
Os1 Os 0.250 0.250 0.250 1
```

***

Record 6
Cs2TaInBr6: relaxed, PBE.

Values from the calculation:
E_form (uncorrected): -1.1042 eV per atom
volume: 39.03 A^3/atom
total moment: 8.00 Bohr magnetons per cell

The structure in CIF format:
```
data_Cs2TaInBr6
_chemical_formula_sum 'Cs8 Ta4 In4 Br24'
_cell_length_a 11.601
_cell_length_b 11.601
_cell_length_c 11.601
_cell_angle_alpha 90.00
_cell_angle_beta 90.00
_cell_angle_gamma 90.00
_space_group_name_H-M_alt 'F m -3 m'
_space_group_IT_number 225
_space_group_name_Hall '-F 4 2 3'
loop_
_atom_site_label
_atom_site_type_symbol
_atom_site_fract_x
_atom_site_fract_y
_atom_site_fract_z
_atom_site_occupancy
Cs1 Cs 0.250 0.250 0.250 1
Ta1 Ta 0.000 0.000 0.000 1
In1 In 0.000 0.000 0.500 1
Br1 Br 0.000 0.000 0.228 1
```

***

Record 7
MgCo2Ir: relaxed, PBE.

Values from the calculation:
formation energy: 0.988 kcal/mol of atoms
volume: 13.07 A^3/atom
total moment: 5.54 Bohr magnetons per cell

The structure in CIF format:
```
data_MgCo2Ir
_chemical_formula_sum 'Mg2 Co4 Ir2'
_cell_length_a 5.378
_cell_length_b 7.208
_cell_length_c 2.698
_cell_angle_alpha 90.00
_cell_angle_beta 90.00
_cell_angle_gamma 90.00
_space_group_name_H-M_alt 'C m m m'
_space_group_IT_number 65
_space_group_name_Hall '-C 2 2'
loop_
_atom_site_label
_atom_site_type_symbol
_atom_site_fract_x
_atom_site_fract_y
_atom_site_fract_z
_atom_site_occupancy
Mg1 Mg 0.000 0.000 0.000 1
Co1 Co 0.250 0.250 0.500 1
Ir1 Ir 0.000 0.500 0.000 1
```

***

Record 8
FeSn3Mo: relaxed, PBE.

Values from the calculation:
formation energy: 19.301 kcal/mol of atoms
volume: 23.12 A^3/atom
total moment: 3.79 Bohr magnetons per cell
polymorph energy (0 for the lowest one): 0.0000 eV/atom

The structure in CIF format:
```
data_FeSn3Mo
_chemical_formula_sum 'Fe1 Sn3 Mo1'
_cell_length_a 4.872
_cell_length_b 4.872
_cell_length_c 4.872
_cell_angle_alpha 90.00
_cell_angle_beta 90.00
_cell_angle_gamma 90.00
_space_group_name_H-M_alt 'P m -3 m'
_space_group_IT_number 221
_space_group_name_Hall '-P 4 2 3'
loop_
_atom_site_label
_atom_site_type_symbol
_atom_site_fract_x
_atom_site_fract_y
_atom_site_fract_z
_atom_site_occupancy
Fe1 Fe 0.000 0.000 0.000 1
Sn1 Sn 0.000 0.000 0.500 1
Mo1 Mo 0.500 0.500 0.500 1
```

***

Look up the volume of the second one. 13.12 A^3/atom

***

volume of number 3 (NaInNiBr2)? 34.77 A^3/atom

***

Which value of total moment does entry 5 give? 0.00 Bohr magnetons per cell